An optimized crystal structure of Ca3Bi4. Source: Alexandria, functional PBE-GGA.

Output
**Space group**: Cmc2_1 (36)
**Energy**: -3.70 eV per atom
**Fermi-level density of states**: 7.45 states/eV/cell

a b c (Å): 4.510 6.545 16.707
angles (deg): 90.02 90.00 110.15
Sites, in units of the cell vectors:
Bi: 0.365 0.731 0.392
Ca: 0.344 0.688 0.904
Ca: 0.658 0.316 0.404
Ca: 0.659 0.319 0.097
Bi: 0.001 0.002 0.500
Bi: 0.636 0.272 0.609
Ca: 0.084 0.168 0.750
Bi: 0.637 0.274 0.892
Ca: 0.343 0.686 0.597
Bi: 0.185 0.370 0.250
Ca: 0.918 0.837 0.251
Bi: 0.002 0.003 0.000
Bi: 0.366 0.732 0.109
Bi: 0.817 0.635 0.750

=====

An optimized crystal structure of MgSb6. Source: Alexandria, functional PBE-GGA.

Output
**Space group**: Im-3m (229)
**Energy**: -3.33 eV per atom
**Fermi-level density of states**: 5.32 states/eV/cell

a b c (Å): 7.326 7.326 7.326
angles (deg): 109.47 109.47 109.47
Sites, in units of the cell vectors:
Sb: 0.250 0.500 0.750
Sb: 0.500 0.250 0.750
Sb: 0.750 0.500 0.250
Sb: 0.750 0.250 0.500
Mg: 0.000 0.000 0.000
Sb: 0.250 0.750 0.500
Sb: 0.500 0.750 0.250

=====

An optimized crystal structure of La2BiTe. Source: Alexandria, functional PBE-GGA.

Output
**Space group**: Fm-3m (225)
**Energy**: -5.37 eV per atom
**Fermi-level density of states**: 3.58 states/eV/cell

a b c (Å): 5.646 5.646 5.646
angles (deg): 60.00 60.00 60.00
Sites, in units of the cell vectors:
Bi: 0.500 0.500 0.500
La: 0.250 0.250 0.250
La: 0.750 0.750 0.750
Te: 0.000 0.000 0.000

=====

An optimized crystal structure of Cs2PuHgSe4. Source: Alexandria, functional PBE-GGA.

Output
**Space group**: Fddd (70)
**Energy**: -4.68 eV per atom
**Fermi-level density of states**: 14.13 states/eV/cell

a b c (Å): 6.648 8.337 13.525
angles (deg): 84.38 75.77 66.50
Sites, in units of the cell vectors:
Cs: 0.180 0.000 0.640
Se: 0.913 0.787 0.893
Se: 0.299 0.787 0.107
Pu: 0.000 0.000 0.000
Cs: 0.820 0.000 0.360
Se: 0.557 0.287 0.607
Hg: 0.250 0.500 0.500
Pu: 0.750 0.500 0.500
Cs: 0.930 0.500 0.140
Se: 0.156 0.287 0.393
Se: 0.451 0.713 0.393
Hg: 0.500 0.000 0.000
Se: 0.193 0.213 0.893
Se: 0.837 0.713 0.607
Se: 0.594 0.213 0.107
Cs: 0.570 0.500 0.860

=====

An optimized crystal structure of NaGaS2F. Source: Alexandria, functional PBE-GGA.

Output
**Space group**: P4/mmm (123)
**Energy**: -3.33 eV per atom
**Fermi-level density of states**: 2.31 states/eV/cell

a b c (Å): 4.476 8.987 4.476
angles (deg): 90.00 90.00 90.00
Sites, in units of the cell vectors:
S: 0.000 0.000 0.500
Na: 0.000 0.500 0.000
S: 0.500 0.000 0.000
F: 0.500 0.500 0.500
Ga: 0.000 0.000 0.000

=====

An optimized crystal structure of K3BaTi. Source: Alexandria, functional PBE-GGA.

Output
**Space group**: Pm-3m (221)
**Energy**: -1.24 eV per atom
**Fermi-level density of states**: 18.16 states/eV/cell

a b c (Å): 7.193 7.193 7.193
angles (deg): 90.00 90.00 90.00
Sites, in units of the cell vectors:
K: 0.000 0.500 0.000
K: 0.500 0.000 0.000
K: 0.000 0.000 0.500
Ti: 0.500 0.500 0.500
Ba: 0.000 0.000 0.000

=====

An optimized crystal structure of Rb4AuClO. Source: Alexandria, functional PBE-GGA.

Output
**Space group**: I4mm (107)
**Energy**: -3.02 eV per atom

a b c (Å): 5.534 5.534 9.463
angles (deg): 107.00 107.00 90.00
Sites, in units of the cell vectors:
Au: 0.357 0.357 0.714
Rb: 0.504 0.004 0.008
O: 0.000 0.000 0.000
Cl: 0.639 0.639 0.278
Rb: 0.841 0.841 0.682
Rb: 0.155 0.155 0.311
Rb: 0.004 0.504 0.008

=====

An optimized crystal structure of Dy2CuC. Source: Alexandria, functional PBE-GGA.

Output
**Space group**: R-3m (166)
**Energy**: -5.79 eV per atom
**Fermi-level density of states**: 3.07 states/eV/cell

a b c (Å): 3.655 3.655 7.155
angles (deg): 75.20 75.20 60.00
Sites, in units of the cell vectors:
C: 0.500 0.500 0.500
Cu: 0.000 0.000 0.000
Dy: 0.232 0.232 0.304
Dy: 0.768 0.768 0.696

=====

An optimized crystal structure of Er2Ag3Pb. Source: Alexandria, functional PBE-GGA.

Output
**Space group**: Fmmm (69)
**Energy**: -3.83 eV per atom
**Fermi-level density of states**: 8.59 states/eV/cell

a b c (Å): 5.911 5.911 9.729
angles (deg): 114.06 114.06 70.00
Sites, in units of the cell vectors:
Ag: 0.837 0.837 0.163
Er: 0.750 0.250 0.500
Ag: 0.835 0.835 0.671
Pb: 0.335 0.335 0.670
Ag: 0.326 0.326 0.163
Er: 0.250 0.750 0.500
Er: 0.243 0.757 0.000
Er: 0.757 0.243 0.000
Ag: 0.163 0.163 0.837
Ag: 0.674 0.674 0.837
Ag: 0.165 0.165 0.329
Pb: 0.665 0.665 0.330

=====

An optimized crystal structure of Li4LaAg2. Source: Alexandria, functional PBE-GGA.

Output
**Space group**: P4_2/mnm (136)
**Energy**: -2.77 eV per atom
**Fermi-level density of states**: 9.29 states/eV/cell

a b c (Å): 4.438 8.092 8.092
angles (deg): 90.00 90.00 90.00
Sites, in units of the cell vectors:
La: 0.500 0.000 0.000
Ag: 0.500 0.715 0.715
Li: 0.000 0.649 0.905
Li: 0.000 0.095 0.351
Li: 0.500 0.405 0.851
Ag: 0.000 0.215 0.785
Ag: 0.500 0.285 0.285
Li: 0.500 0.851 0.405
Li: 0.500 0.595 0.149
Li: 0.000 0.351 0.095
Ag: 0.000 0.785 0.215
La: 0.000 0.500 0.500
Li: 0.000 0.905 0.649
Li: 0.500 0.149 0.595

=====

An optimized crystal structure of TlSb2S3. Source: Alexandria, functional PBE-GGA.

Output
**Space group**: P-1 (2)
**Energy**: -4.04 eV per atom
**Fermi-level density of states**: 5.00 states/eV/cell

a b c (Å): 6.483 5.929 10.421
angles (deg): 92.60 112.64 100.38
Sites, in units of the cell vectors:
S: 0.805 0.597 0.621
S: 0.109 0.262 0.906
Tl: 0.258 0.792 0.983
S: 0.534 0.929 0.326
Sb: 0.120 0.815 0.343
S: 0.195 0.403 0.379
Sb: 0.651 0.562 0.358
Tl: 0.742 0.208 0.017
S: 0.466 0.071 0.674
Sb: 0.349 0.438 0.642
Sb: 0.880 0.185 0.657
S: 0.891 0.738 0.094

=====

An optimized crystal structure of La2Tb4Sm3. Source: Alexandria, functional PBE-GGA.

Output
**Space group**: P3m1 (156)
**Energy**: -4.67 eV per atom
**Fermi-level density of states**: 16.87 states/eV/cell

a b c (Å): 3.632 3.632 26.926
angles (deg): 90.00 90.00 120.00
Sites, in units of the cell vectors:
Sm: 0.000 0.000 0.983
Tb: 0.667 0.333 0.222
Tb: 0.000 0.000 0.756
La: 0.667 0.333 0.094
Sm: 0.667 0.333 0.649
Sm: 0.000 0.000 0.327
Tb: 0.667 0.333 0.437
Tb: 0.000 0.000 0.541
La: 0.667 0.333 0.867

=====

An optimized crystal structure of SmSiPt2. Source: Alexandria, functional PBE-GGA.

Output
**Space group**: Pnma (62)
**Energy**: -6.68 eV per atom
**Fermi-level density of states**: 6.79 states/eV/cell

a b c (Å): 5.628 6.971 7.466
angles (deg): 90.00 90.00 90.00
Sites, in units of the cell vectors:
Sm: 0.637 0.750 0.973
Si: 0.862 0.250 0.877
Si: 0.638 0.250 0.377
Pt: 0.908 0.448 0.178
Sm: 0.863 0.750 0.473
Pt: 0.408 0.948 0.322
Si: 0.138 0.750 0.123
Si: 0.362 0.750 0.623
Pt: 0.908 0.052 0.178
Pt: 0.092 0.948 0.822
Pt: 0.592 0.448 0.678
Sm: 0.363 0.250 0.027
Sm: 0.137 0.250 0.527
Pt: 0.592 0.052 0.678
Pt: 0.408 0.552 0.322
Pt: 0.092 0.552 0.822

=====

An optimized crystal structure of Ti4MnNb. Source: Alexandria, functional PBE-GGA.

Output
**Space group**: C2/c (15)
**Energy**: -8.36 eV per atom
**Fermi-level density of states**: 14.99 states/eV/cell

a b c (Å): 6.157 4.686 8.563
angles (deg): 93.97 101.77 124.65
Sites, in units of the cell vectors:
Ti: 0.725 0.392 0.414
Ti: 0.811 0.978 0.586
Ti: 0.037 0.798 0.082
Ti: 0.455 0.716 0.918
Mn: 0.872 0.122 0.244
Ti: 0.963 0.202 0.918
Nb: 0.626 0.376 0.752
Ti: 0.275 0.608 0.586
Ti: 0.545 0.284 0.082
Mn: 0.128 0.878 0.756
Nb: 0.374 0.624 0.248
Ti: 0.189 0.022 0.414

=====

An optimized crystal structure of SrTlP2Cl. Source: Alexandria, functional PBE-GGA.

Output
**Space group**: P4/mmm (123)
**Energy**: -3.19 eV per atom
**Fermi-level density of states**: 4.21 states/eV/cell

a b c (Å): 5.920 5.920 5.559
angles (deg): 90.00 90.00 90.00
Sites, in units of the cell vectors:
Tl: 0.500 0.500 0.500
Sr: 0.000 0.000 0.000
P: 0.000 0.500 0.000
P: 0.500 0.000 0.000
Cl: 0.000 0.000 0.500

=====

An optimized crystal structure of PrSm3Hg4. Source: Alexandria, functional PBE-GGA.

Output
**Space group**: Immm (71)
**Energy**: -2.84 eV per atom
**Fermi-level density of states**: 8.02 states/eV/cell

a b c (Å): 3.741 7.702 9.343
angles (deg): 114.33 101.55 90.00
Sites, in units of the cell vectors:
Sm: 0.202 0.202 0.405
Pr: 0.500 0.000 0.000
Hg: 0.632 0.833 0.264
Sm: 0.000 0.500 0.000
Hg: 0.368 0.167 0.736
Hg: 0.368 0.569 0.736
Sm: 0.798 0.798 0.595
Hg: 0.632 0.431 0.264

=====

An optimized crystal structure of La2PmIr. Source: Alexandria, functional PBE-GGA.

Output
**Space group**: R3m (160)
**Energy**: -6.20 eV per atom
**Fermi-level density of states**: 5.15 states/eV/cell

a b c (Å): 4.096 4.096 9.700
angles (deg): 77.81 77.81 60.00
Sites, in units of the cell vectors:
La: 0.057 0.057 0.829
La: 0.276 0.276 0.172
Pm: 0.501 0.501 0.498
Ir: 0.666 0.666 0.001

=====

An optimized crystal structure of ZrAg3B. Source: Alexandria, functional PBE-GGA.

Output
**Space group**: Pm-3m (221)
**Energy**: -4.32 eV per atom
**Fermi-level density of states**: 4.29 states/eV/cell

a b c (Å): 4.406 4.406 4.406
angles (deg): 90.00 90.00 90.00
Sites, in units of the cell vectors:
Ag: 0.500 0.000 0.000
Zr: 0.500 0.500 0.500
Ag: 0.000 0.500 0.000
Ag: 0.000 0.000 0.500
B: 0.000 0.000 0.000

=====

An optimized crystal structure of TaInP3. Source: Alexandria, functional PBE-GGA.

Output
**Space group**: Pm-3m (221)
**Energy**: -4.49 eV per atom
**Fermi-level density of states**: 6.02 states/eV/cell

a b c (Å): 4.824 4.824 4.824
angles (deg): 90.00 90.00 90.00
Sites, in units of the cell vectors:
Ta: 0.500 0.500 0.500
In: 0.000 0.000 0.000
P: 0.000 0.000 0.500
P: 0.000 0.500 0.000
P: 0.500 0.000 0.000

=====

An optimized crystal structure of Pm7Dy16Er6. Source: Alexandria, functional PBE-GGA.

Output
**Space group**: Fm-3m (225)
**Energy**: -4.37 eV per atom
**Fermi-level density of states**: 56.78 states/eV/cell

a b c (Å): 11.166 11.166 11.166
angles (deg): 60.00 60.00 60.00
Sites, in units of the cell vectors:
Dy: 0.127 0.127 0.127
Dy: 0.350 0.350 0.950
Er: 0.737 0.263 0.263
Dy: 0.127 0.127 0.619
Pm: 0.500 0.000 0.000
Dy: 0.350 0.950 0.350
Dy: 0.873 0.873 0.381
Pm: 0.000 0.500 0.000
Dy: 0.650 0.050 0.650
Dy: 0.873 0.381 0.873
Er: 0.263 0.737 0.263
Dy: 0.050 0.650 0.650
Pm: 0.500 0.000 0.500
Dy: 0.350 0.350 0.350
Dy: 0.619 0.127 0.127
Er: 0.737 0.263 0.737
Dy: 0.127 0.619 0.127
Er: 0.263 0.263 0.737
Er: 0.263 0.737 0.737
Pm: 0.000 0.000 0.000
Dy: 0.950 0.350 0.350
Er: 0.737 0.737 0.263
Pm: 0.000 0.500 0.500
Pm: 0.000 0.000 0.500
Dy: 0.873 0.873 0.873
Dy: 0.381 0.873 0.873
Pm: 0.500 0.500 0.000
Dy: 0.650 0.650 0.050
Dy: 0.650 0.650 0.650